This record from Alexandria via LeMat-Bulk describes a relaxed CrHg2Pt crystal. The functional is PBE.

ΔE_f, eV per atom: 0.24
Energy above the lowest structure with this stoichiometry, meV per atom: 99
Space-group type: R3m, No. 160

Unit cell a=9.4151 b=9.4151 c=9.4151 alpha=18.97 beta=18.97 gamma=18.97
Last column: nearest neighbours and their distance in Å.
Atoms (fractional coordinates):
Cr: 0.7579 0.7579 0.7579  3 Pt 2.54
Hg: 0.0092 0.0092 0.0092  3 Cr 2.90, 6 Hg 3.10
Hg: 0.2434 0.2434 0.2434  3 Pt 3.01, 9 Hg 3.10-3.28
Pt: 0.4894 0.4894 0.4894  3 Cr 2.54

***

This record from Alexandria via LeMat-Bulk describes a relaxed CrHgPt2 crystal. The functional is PBE.

ΔE_f, eV per atom: 0.06
Space-group type: P4mm, No. 99

Unit cell a=3.4205 b=3.4205 c=5.7628 alpha=90.00 beta=90.00 gamma=90.00
Last column: nearest neighbours and their distance in Å.
Atoms (fractional coordinates):
Cr: 0.0000 0.0000 0.4651  5 Pt 2.63-2.66, 4 Hg 2.94
Hg: 0.5000 0.5000 0.7544  6 Pt 2.78-2.98, 4 Cr 2.94
Pt: 0.0000 0.0000 0.0088  1 Cr 2.63, 4 Hg 2.83, 4 Pt 2.85
Pt: 0.5000 0.5000 0.2717  4 Cr 2.66, 2 Hg 2.78-2.98, 4 Pt 2.85

***

This record from Alexandria via LeMat-Bulk describes a relaxed CrHgPt2 crystal. The functional is PBE.

ΔE_f, eV per atom: 0.01
Space-group type: F222, No. 22

Unit cell a=5.0129 b=5.0129 c=5.0106 alpha=132.99 beta=132.95 gamma=68.74
Last column: nearest neighbours and their distance in Å.
Atoms (fractional coordinates):
Cr: 0.5001 0.5001 0.0000  8 Pt 2.83-2.88, 4 Hg 2.88
Hg: 0.2501 0.7501 0.5000  8 Pt 2.83-2.88, 4 Cr 2.88
Pt: 0.9999 0.9999 0.0000  4 Cr 2.83, 4 Hg 2.88, 4 Pt 2.88
Pt: 0.7498 0.2498 0.5000  4 Hg 2.83, 4 Cr 2.87-2.88, 4 Pt 2.88

***

This record from Alexandria via LeMat-Bulk describes a relaxed Cr4HgPt crystal. The functional is PBE.

ΔE_f, eV per atom: 0.29
Space-group type: F-43m, No. 216

Unit cell a=4.8748 b=4.8748 c=4.8748 alpha=60.00 beta=60.00 gamma=60.00
Last column: nearest neighbours and their distance in Å.
Atoms (fractional coordinates):
Cr: 0.8671 0.3776 0.3776  6 Cr 2.39-2.49
Cr: 0.3776 0.3776 0.8671  6 Cr 2.39-2.49
Cr: 0.3776 0.8671 0.3776  6 Cr 2.39-2.49
Cr: 0.3776 0.3776 0.3776  6 Cr 2.39-2.49
Hg: 0.7500 0.7500 0.7500  12 Cr 2.85, 4 Pt 2.99
Pt: 0.0000 0.0000 0.0000  12 Cr 2.86, 4 Hg 2.99

***

This record from Alexandria via LeMat-Bulk describes a relaxed CrHgPt2 crystal. The functional is PBE.

ΔE_f, eV per atom: 0.10
Space-group type: P4mm, No. 99

Unit cell a=2.8971 b=2.8971 c=7.9451 alpha=90.00 beta=90.00 gamma=90.00
Last column: nearest neighbours and their distance in Å.
Atoms (fractional coordinates):
Cr: 0.0000 0.0000 0.4771  4 Pt 2.65, 4 Cr 2.90, 4 Hg 2.95
Hg: 0.5000 0.5000 0.7447  4 Hg 2.90, 4 Cr 2.95, 4 Pt 2.96
Pt: 0.0000 0.0000 0.0132  8 Pt 2.86-2.90, 4 Hg 2.96
Pt: 0.5000 0.5000 0.2649  4 Cr 2.65, 8 Pt 2.86-2.90

***

This record from Alexandria via LeMat-Bulk describes a relaxed CrHg2Pt crystal. The functional is PBE.

ΔE_f, eV per atom: 0.27
Energy above the lowest structure with this stoichiometry, meV per atom: 124
Space-group type: Cmmm, No. 65

Unit cell a=4.9997 b=4.9997 c=3.0954 alpha=90.00 beta=90.00 gamma=107.39
Last column: nearest neighbours and their distance in Å.
Atoms (fractional coordinates):
Cr: 0.0000 0.5000 0.5000  8 Hg 2.94, 2 Pt 2.96, 2 Cr 3.10
Hg: 0.0000 0.0000 0.0000  4 Cr 2.94, 4 Pt 2.94, 4 Hg 2.96-3.10
Hg: 0.5000 0.5000 0.0000  4 Pt 2.94, 4 Cr 2.94, 4 Hg 2.96-3.10
Pt: 0.5000 0.0000 0.5000  8 Hg 2.94, 2 Cr 2.96, 2 Pt 3.10

***

This record from Alexandria via LeMat-Bulk describes a relaxed CrHg2Pt crystal. The functional is PBE.

ΔE_f, eV per atom: 0.21
Energy above the lowest structure with this stoichiometry, meV per atom: 67
Space-group type: P2/m, No. 10

Unit cell a=3.9325 b=3.1187 c=6.7660 alpha=62.45 beta=90.00 gamma=90.00
Last column: nearest neighbours and their distance in Å.
Atoms (fractional coordinates):
Cr: 0.5000 0.7500 0.7500  8 Hg 2.92, 2 Pt 3.00, 2 Cr 3.12
Hg: 0.0000 0.0010 0.9994  4 Cr 2.92, 4 Pt 2.92-2.93, 4 Hg 2.99-3.12
Hg: 0.0000 0.4990 0.5006  4 Cr 2.92, 4 Pt 2.92-2.93, 4 Hg 2.99-3.12
Pt: 0.5000 0.2500 0.2500  8 Hg 2.92-2.93, 2 Cr 3.00, 2 Pt 3.12

***

This record from Alexandria via LeMat-Bulk describes a relaxed CrHgPt2 crystal. The functional is PBE.

ΔE_f, eV per atom: 0.03
Space-group type: Cmmm, No. 65

Unit cell a=6.5487 b=4.8229 c=2.9824 alpha=89.94 beta=63.00 gamma=122.59
Last column: nearest neighbours and their distance in Å.
Atoms (fractional coordinates):
Cr: 0.0000 0.5000 0.5000  8 Pt 2.83-2.84, 2 Hg 2.92, 2 Cr 2.98
Hg: 0.5000 0.5000 0.0000  8 Pt 2.83-2.84, 2 Cr 2.92, 2 Hg 2.98
Pt: 0.0000 0.0000 0.0000  4 Hg 2.83-2.84, 4 Cr 2.83-2.84, 4 Pt 2.92-2.98
Pt: 0.5000 0.0000 0.5000  4 Cr 2.83-2.84, 4 Hg 2.83-2.84, 4 Pt 2.92-2.98

***

This record from Alexandria via LeMat-Bulk describes a relaxed CrHgPt2 crystal. The functional is PBE.

ΔE_f, eV per atom: 0.05
Space-group type: Cm, No. 8

Unit cell a=4.9660 b=4.9660 c=4.8773 alpha=79.54 beta=79.54 gamma=34.45
Last column: nearest neighbours and their distance in Å.
Atoms (fractional coordinates):
Cr: 0.5067 0.5067 0.4718  7 Pt 2.73-2.96, 3 Hg 2.93-2.95, 2 Cr 2.94
Hg: 0.7511 0.7511 0.7591  7 Pt 2.81-2.88, 3 Cr 2.93-2.95, 2 Hg 2.94
Pt: 0.9967 0.9967 0.0015  4 Cr 2.74-2.96, 3 Hg 2.81-2.88, 5 Pt 2.89-2.94
Pt: 0.2455 0.2455 0.2675  3 Cr 2.73-2.84, 4 Hg 2.82-2.87, 5 Pt 2.89-2.94

***

This record from Alexandria via LeMat-Bulk describes a relaxed CrHg2Pt crystal. The functional is PBE.

ΔE_f, eV per atom: 0.30
Energy above the lowest structure with this stoichiometry, meV per atom: 153
Space-group type: C2/m, No. 12

Unit cell a=5.6595 b=5.6595 c=3.1552 alpha=74.32 beta=74.32 gamma=117.33
Last column: nearest neighbours and their distance in Å.
Atoms (fractional coordinates):
Cr: 0.0000 0.5000 0.5000  4 Hg 2.84, 4 Pt 2.94-2.99, 2 Cr 3.16
Hg: 0.0000 0.0000 0.0000  2 Pt 2.84, 2 Cr 2.84, 6 Hg 2.94-3.16
Hg: 0.5000 0.5000 0.0000  2 Cr 2.84, 2 Pt 2.84, 6 Hg 2.94-3.16
Pt: 0.5000 0.0000 0.5000  4 Hg 2.84, 4 Cr 2.94-2.99, 2 Pt 3.16

***

This record from Alexandria via LeMat-Bulk describes a relaxed CrHgPt2 crystal. The functional is PBE.

ΔE_f, eV per atom: -0.08
Space-group type: P4/mmm, No. 123

Unit cell a=2.8079 b=2.8079 c=8.1213 alpha=90.00 beta=90.00 gamma=89.96
Last column: nearest neighbours and their distance in Å.
Atoms (fractional coordinates):
Cr: 0.5000 0.5000 0.2500  8 Pt 2.63, 4 Cr 2.81
Hg: 0.5000 0.5000 0.7500  4 Hg 2.81, 8 Pt 3.06
Pt: 0.0000 0.0000 0.0370  4 Cr 2.63, 4 Pt 2.81
Pt: 0.0000 0.0000 0.4630  4 Cr 2.63, 4 Pt 2.81

***

This record from Alexandria via LeMat-Bulk describes a relaxed CrHg2Pt crystal. The functional is PBE.

ΔE_f, eV per atom: 0.24
Energy above the lowest structure with this stoichiometry, meV per atom: 96
Space-group type: Imm2, No. 44

Unit cell a=5.8538 b=5.8538 c=5.8538 alpha=150.01 beta=130.55 gamma=58.92
Last column: nearest neighbours and their distance in Å.
Atoms (fractional coordinates):
Cr: 0.2678 0.7678 0.5000  2 Pt 2.60, 4 Hg 2.90
Hg: 0.0205 0.0205 0.0000  4 Pt 2.92, 2 Cr 2.94, 2 Hg 3.03
Hg: 0.7365 0.2365 0.5000  4 Cr 2.90, 2 Hg 3.03, 2 Pt 3.06
Pt: 0.4752 0.4752 0.0000  2 Cr 2.60

***

Number 1: mass density 13.97 g cm⁻³, DOS(E_F) 1.9 states/eV/f.u.. Number 2: mass density 15.83 g cm⁻³, DOS(E_F) 2.7 states/eV/f.u.. Number 3: mass density 16.13 g cm⁻³, DOS(E_F) 4.3 states/eV/f.u.. Number 4: mass density 12.24 g cm⁻³, DOS(E_F) 5.3 states/eV/f.u.. Number 5: mass density 16.01 g cm⁻³, DOS(E_F) 4.5 states/eV/f.u.. Number 6: mass density 14.58 g cm⁻³, DOS(E_F) 1.4 states/eV/f.u.. Number 7: mass density 14.63 g cm⁻³, DOS(E_F) 2.0 states/eV/f.u.. Number 8: mass density 15.97 g cm⁻³, DOS(E_F) 3.1 states/eV/f.u.. Number 9: mass density 15.98 g cm⁻³, DOS(E_F) 3.9 states/eV/f.u.. Number 10: mass density 14.03 g cm⁻³, DOS(E_F) 2.0 states/eV/f.u.. Number 11: mass density 16.67 g cm⁻³, DOS(E_F) 3.0 states/eV/f.u.. Number 12: mass density 14.24 g cm⁻³, DOS(E_F) 2.4 states/eV/f.u..